# 1
Entry from the Alexandria database: BaLi2HPd after structural relaxation (PBE).

a = 4.1989 Å, b = 6.0594 Å, c = 8.0075 Å
α = 90.00°, β = 90.00°, γ = 110.27°
Last column: nearest neighbours and their distance in Å.
Fractional positions:
H: 0.0000 0.0000 0.5000  2 Li 1.98
H: 0.0000 0.0000 0.0000  2 Li 1.98
Li: 0.8306 0.6612 0.4430  1 H 1.98
Li: 0.1694 0.3388 0.9430  1 H 1.98
Li: 0.8306 0.6612 0.0570  1 H 1.98
Li: 0.1694 0.3388 0.5570  1 H 1.98
Pd: 0.7260 0.4520 0.7500  6 Li 2.69-2.73
Pd: 0.2740 0.5480 0.2500  6 Li 2.69-2.73
Ba: 0.5494 0.0988 0.2500  4 H 2.95, 3 Pd 3.13-3.31
Ba: 0.4506 0.9012 0.7500  4 H 2.95, 3 Pd 3.13-3.31

Results
energy above the lowest structure with this stoichiometry = 0.0 meV/atom
uncorrected energy = -3.242 eV/atom
symmetry = Cmcm, No. 63


# 2
Entry from the Alexandria database: ScTa4Re after structural relaxation (PBE).

a = 5.4184 Å, b = 5.4184 Å, c = 5.4184 Å
α = 60.00°, β = 60.00°, γ = 60.00°
Last column: nearest neighbours and their distance in Å.
Fractional positions:
Re: 0.7500 0.7500 0.7500  12 Ta 3.18, 4 Sc 3.32
Ta: 0.8757 0.3748 0.3748  6 Ta 2.70-2.71
Ta: 0.3748 0.3748 0.8757  6 Ta 2.70-2.71
Ta: 0.3748 0.3748 0.3748  6 Ta 2.70-2.71
Ta: 0.3748 0.8757 0.3748  6 Ta 2.70-2.71
Sc: 0.0000 0.0000 0.0000  12 Ta 3.18, 4 Re 3.32

Results
uncorrected energy = -10.789 eV/atom
energy relative to the elements = 0.242 eV/atom
symmetry = F-43m, No. 216


# 3
Entry from the Alexandria database: MgTaIr3 after structural relaxation (PBE).

a = 4.4116 Å, b = 4.4116 Å, c = 4.4116 Å
α = 90.00°, β = 90.00°, γ = 90.00°
Last column: nearest neighbours and their distance in Å.
Fractional positions:
Mg: 0.0000 0.0000 0.0000  6 Ir 2.21
Ir: 0.0000 0.5000 0.0000  2 Mg 2.21
Ir: 0.5000 0.0000 0.0000  2 Mg 2.21
Ir: 0.0000 0.0000 0.5000  2 Mg 2.21
Ta: 0.5000 0.5000 0.5000  12 Ir 3.12

Results
energy above the lowest structure with this stoichiometry = 160.9 meV/atom
uncorrected energy = -6.815 eV/atom
energy relative to the elements = 1.191 eV/atom
symmetry = Pm-3m, No. 221


# 4
Entry from the Alexandria database: KCuSn3 after structural relaxation (PBE).

a = 4.8518 Å, b = 4.8516 Å, c = 6.7374 Å
α = 68.78°, β = 68.79°, γ = 90.05°
Last column: nearest neighbours and their distance in Å.
Fractional positions:
Cu: 0.0320 0.8352 0.6419  5 Sn 2.65-2.72
Sn: 0.8023 0.6059 0.1001  1 Cu 2.65
Sn: 0.6392 0.9414 0.4284  2 Cu 2.72
Sn: 0.1378 0.4426 0.4284  2 Cu 2.72
K: 0.3964 0.2001 0.9124  12 Sn 3.60-3.85, 4 Cu 3.77

Results
energy above the lowest structure with this stoichiometry = 0.0 meV/atom
uncorrected energy = -3.586 eV/atom
energy relative to the elements = -0.145 eV/atom
symmetry = Cm, No. 8


- Number 2 is which compound?
  ScTa4Re


- Which formula does entry 1 have?
  BaLi2HPd